Computed, not measured: crystalline MgFe4Si2Sn7O16 at its relaxed geometry at the GGA+U level of DFT.

abc: 6.9742 6.9742 10.2687
angles: 89.58 89.58 59.81
Fractional coordinates of all 30 atoms:
1 Mg 0.7581 0.7581 0.9617
2 Fe 0.0069 0.4994 0.4989
3 Fe 0.9912 0.9912 0.9978
4 Fe 0.4994 0.0069 0.4989
5 Fe 0.5022 0.5022 0.4919
6 Si 0.6604 0.6604 0.7375
7 Si 0.3391 0.3391 0.2544
8 Sn 0.3315 0.8422 0.1864
9 Sn 0.0059 0.0059 0.5017
10 Sn 0.8465 0.8465 0.2100
11 Sn 0.8422 0.3315 0.1864
12 Sn 0.1751 0.6692 0.8071
13 Sn 0.1613 0.1613 0.8128
14 Sn 0.6692 0.1751 0.8071
15 O 0.9021 0.5397 0.8124
16 O 0.5326 0.5326 0.7887
17 O 0.6761 0.6761 0.1288
18 O 0.0811 0.4705 0.2042
19 O 0.5397 0.9021 0.8124
20 O 0.1646 0.1646 0.6044
21 O 0.4705 0.0811 0.2042
22 O 0.3253 0.8487 0.3958
23 O 0.4697 0.4697 0.2082
24 O 0.3364 0.3364 0.4170
25 O 0.6845 0.1572 0.6030
26 O 0.3294 0.3294 0.8379
27 O 0.1572 0.6845 0.6030
28 O 0.6696 0.6696 0.5804
29 O 0.8381 0.8381 0.4089
30 O 0.8487 0.3253 0.3958

Calculated values
energy relative to the lowest polymorph listed for this composition = 174 meV/atom
energy = -6.142 eV/atom
crystal system = monoclinic
space-group type = No. 8